Entry from the Alexandria database: a relaxed BeC2 crystal (GGA-PBE).

The structure in POSCAR format:
```
BeC2
1.0
4.552 0.000 0.000
-2.276 3.942 0.000
0.000 0.000 3.021
Be C
2 4
direct
0.333 0.667 0.250
0.667 0.333 0.750
0.000 0.000 0.000
0.000 0.000 0.500
0.333 0.667 0.750
0.667 0.333 0.250
```

V   9.04 A^3/atom
Size of the total moment   0.000 μB per atom
VASP energy   -15.6 eV per formula unit
ΔH_f (0 K)   2182.7 meV/atom
Polymorph energy (0 for the lowest one)   1796 meV per atom